Compound: LuSi2IrPt
Source: OQMD via LeMat-Bulk
Functional: GGA-PBE
Structure: relaxed

- relative energy among the computed polymorphs (meV/atom) = 58
- calculated density (Mg/m³) = 12.20

Cell: 4.1030 4.1030 10.0012 Å, 90.00 90.00 90.00°
Closest atoms and distances in Å follow each position.
Positions (direct):
Si 0.0000 0.5000 0.1397  1 Ir 2.32, 4 Pt 2.48
Si 0.5000 0.5000 0.5000  4 Ir 2.42
Si 0.5000 0.0000 0.8603  1 Ir 2.32, 4 Pt 2.48
Si 0.0000 0.0000 0.5000  4 Ir 2.42
Pt 0.0000 0.0000 0.0000  4 Si 2.48
Pt 0.5000 0.5000 0.0000  4 Si 2.48
Lu 0.0000 0.5000 0.7415  4 Ir 3.12, 8 Si 3.13-3.17, 4 Pt 3.30
Lu 0.5000 0.0000 0.2585  4 Ir 3.12, 8 Si 3.13-3.17, 4 Pt 3.30
Ir 0.5000 0.0000 0.6279  5 Si 2.32-2.42
Ir 0.0000 0.5000 0.3721  5 Si 2.32-2.42